1.
First-principles (GGA-PBE) data for a geometry-optimized Al2CdSb structure, as listed in the Alexandria database.

Unit cell a=5.0076 b=5.0076 c=5.0076 alpha=60.00 beta=60.00 gamma=60.00
Sites, in units of the cell vectors:
1 Al 0.7500 0.7500 0.7500
2 Cd 0.0000 0.0000 0.0000
3 Al 0.2500 0.2500 0.2500
4 Sb 0.5000 0.5000 0.5000

Calculated values
Mass density = 5389 kg/m³
DOS at the Fermi energy = 2.0 states/eV/cell
Energy above the most stable polymorph in this dataset = 0.54 eV per formula unit
E_form (uncorrected) = 0.244 eV/atom

2.
First-principles (GGA-PBE) data for a geometry-optimized Al2CdSb structure, as listed in the Alexandria database.

Unit cell a=6.7798 b=5.4129 c=3.1705 alpha=87.11 beta=67.23 gamma=120.86
Sites, in units of the cell vectors:
1 Al 0.5000 0.0000 0.5000
2 Sb 0.5000 0.5000 0.0000
3 Al 0.0000 0.0000 0.0000
4 Cd 0.0000 0.5000 0.5000

Calculated values
Mass density = 5473 kg/m³
DOS at the Fermi energy = 1.2 states/eV/cell
Energy above the most stable polymorph in this dataset = 0.38 eV per formula unit
E_form (uncorrected) = 0.204 eV/atom

3.
First-principles (GGA-PBE) data for a geometry-optimized AlCdSb2 structure, as listed in the Alexandria database.

Unit cell a=5.2100 b=5.2100 c=5.2100 alpha=60.00 beta=60.00 gamma=60.00
Sites, in units of the cell vectors:
1 Al 0.5000 0.5000 0.5000
2 Sb 0.2500 0.2500 0.2500
3 Sb 0.0000 0.0000 0.0000
4 Cd 0.7500 0.7500 0.7500

Calculated values
Mass density = 6358 kg/m³
DOS at the Fermi energy = 3.1 states/eV/cell
Energy above the most stable polymorph in this dataset = 1.03 eV per formula unit
E_form (uncorrected) = 0.267 eV/atom

E_tot values (in eV/cell) by entry order: -11.55 -11.71 -11.83.
Volume values (in Å³ per cell) by entry order: 89 87 100.